(1)
BaY2Tl | SCAN | single point on PBEsol structure

Properties
DFT total energy   -41.97 eV per atom
Calculated volume   134.8 Å³ per cell
Energy above the lowest structure with this stoichiometry   0 meV per atom
Spin magnetization   0.3156 μB/atom
Energy of formation from the pure elements   -0.074 eV per atom
Space-group type   R3m (160)

Unit cell a=11.5262 b=11.5262 c=11.5262 alpha=18.51 beta=18.51 gamma=18.51
Fractional positions:
Ba 0.0000 0.0000 0.0000
Y 0.2344 0.2344 0.2344
Y 0.4868 0.4868 0.4868
Tl 0.7491 0.7491 0.7491



(2)
NbHCl2 | SCAN | single point on PBEsol structure

Properties
DFT total energy   -12.97 eV per atom
Calculated volume   60.9 Å³ per cell
Spin magnetization   0.0000 μB/atom
Space-group type   R-3m (166)

Unit cell a=7.4482 b=7.4482 c=7.4482 alpha=24.18 beta=24.18 gamma=24.18
Fractional positions:
Nb 0.0000 0.0000 0.0000
H 0.5000 0.5000 0.5000
Cl 0.1069 0.1069 0.1069
Cl 0.8931 0.8931 0.8931



What did the second record say?
NbHCl2 | SCAN | single point on PBEsol structure

Properties
DFT total energy   -12.97 eV per atom
Calculated volume   60.9 Å³ per cell
Spin magnetization   0.0000 μB/atom
Space-group type   R-3m (166)

Unit cell a=7.4482 b=7.4482 c=7.4482 alpha=24.18 beta=24.18 gamma=24.18
Fractional positions:
Nb 0.0000 0.0000 0.0000
H 0.5000 0.5000 0.5000
Cl 0.1069 0.1069 0.1069
Cl 0.8931 0.8931 0.8931



> The lowest DFT total energy belongs to which entry?

BaY2Tl



What did the second record say?
NbHCl2 | SCAN | single point on PBEsol structure

Properties
DFT total energy   -12.97 eV per atom
Calculated volume   60.9 Å³ per cell
Spin magnetization   0.0000 μB/atom
Space-group type   R-3m (166)

Unit cell a=7.4482 b=7.4482 c=7.4482 alpha=24.18 beta=24.18 gamma=24.18
Fractional positions:
Nb 0.0000 0.0000 0.0000
H 0.5000 0.5000 0.5000
Cl 0.1069 0.1069 0.1069
Cl 0.8931 0.8931 0.8931



> DFT total energy of number 2 (NbHCl2)?

-12.97 eV per atom